(1)
A plane-wave DFT calculation with PBE was carried out for ScRePb2 after structural relaxation.

Geometry as POSCAR:
```
ScRePb2
1.0
5.547 0.000 0.000
2.199 5.092 0.000
-3.873 -2.546 3.047
Pb Re Sc
2 1 1
direct
0.250 0.750 0.500
0.000 0.000 0.000
0.500 0.500 0.000
0.750 0.250 0.500
```

Summary:
Its polymorph energy (0 for the lowest one) is 0.2527 eV/atom. For the volume, the calculation gives 86.0 Å³/f.u. The symmetry is I-4m2, No. 119. Its formation energy is 0.51 eV per atom.

***

(2)
A plane-wave DFT calculation with PBE was carried out for Sc2RePb after structural relaxation.

Geometry as POSCAR:
```
Sc2RePb
1.0
-2.615 0.891 2.313
1.759 -1.701 2.644
3.085 5.387 1.413
Sc Pb Re
2 1 1
direct
0.000 0.000 0.970
0.500 0.500 0.237
0.000 0.000 0.513
0.500 0.500 0.780
```

Summary:
For the volume, the calculation gives 82.6 Å³/f.u. The symmetry is P4mm, No. 99. Its formation energy is 0.18 eV per atom.

***

(3)
A plane-wave DFT calculation with PBE was carried out for ScRe2Pb after structural relaxation.

Geometry as POSCAR:
```
ScRe2Pb
1.0
3.034 0.000 0.000
0.000 4.039 0.000
0.000 0.000 6.001
Re Sc Pb
2 1 1
direct
0.000 0.000 0.041
0.500 0.500 0.230
0.000 0.000 0.476
0.500 0.500 0.752
```

Summary:
For the volume, the calculation gives 73.5 Å³/f.u. The symmetry is Pmm2, No. 25. Its formation energy is 0.34 eV per atom.

***

(4)
A plane-wave DFT calculation with PBE was carried out for Sc2RePb after structural relaxation.

Geometry as POSCAR:
```
Sc2RePb
1.0
4.803 0.000 0.000
2.401 4.159 0.000
2.401 1.386 3.921
Pb Sc Re
1 2 1
direct
0.500 0.500 0.500
0.750 0.750 0.750
0.000 0.000 0.000
0.250 0.250 0.250
```

Summary:
For the volume, the calculation gives 78.3 Å³/f.u. The symmetry is F-43m, No. 216. Its formation energy is 0.12 eV per atom.

***

(5)
A plane-wave DFT calculation with PBE was carried out for ScRePb2 after structural relaxation.

Geometry as POSCAR:
```
ScRePb2
1.0
9.439 0.001 0.001
8.847 3.290 0.001
8.847 1.592 2.879
Re Pb Sc
1 2 1
direct
0.250 0.250 0.250
0.992 0.992 0.992
0.508 0.508 0.508
0.750 0.750 0.750
```

Summary:
Its polymorph energy (0 for the lowest one) is 0.2898 eV/atom. For the volume, the calculation gives 89.4 Å³/f.u. The symmetry is R-3m, No. 166. Its formation energy is 0.55 eV per atom.

***

(6)
A plane-wave DFT calculation with PBE was carried out for ScRe2Pb after structural relaxation.

Geometry as POSCAR:
```
ScRe2Pb
1.0
-0.104 -1.133 -2.679
1.187 -1.853 1.905
-8.559 -3.582 1.849
Pb Re Sc
1 2 1
direct
0.500 0.500 0.750
0.000 0.000 0.015
0.000 0.000 0.485
0.500 0.500 0.250
```

Summary:
For the volume, the calculation gives 74.5 Å³/f.u. The symmetry is Cmmm, No. 65. Its formation energy is 0.67 eV per atom.